CsKCoF4: relaxed, PBE+U.

Summary:
Magnetization   1.0 μB per formula unit
Final energy   -4.283 eV per atom

Structure (CIF):
```
data_CsKCoF4
_chemical_formula_sum 'Cs2 K2 Co2 F8'
_cell_length_a 6.364
_cell_length_b 6.364
_cell_length_c 7.792
_cell_angle_alpha 90.00
_cell_angle_beta 90.00
_cell_angle_gamma 90.00
_space_group_name_H-M_alt 'I -4 m 2'
_space_group_IT_number 119
_space_group_name_Hall 'I -4 -2'
loop_
_atom_site_label
_atom_site_fract_x
_atom_site_fract_y
_atom_site_fract_z
Cs1 0.000 0.000 0.000
K1 0.000 0.000 0.500
Co1 0.000 0.500 0.250
F1 0.205 0.295 0.250
```